# DyHfFeRu | Alexandria | PBE | optimized geometry
# - total magnetization (μB per cell) = 0.9
# - energy of formation (eV/atom) = -0.2617
# - E_tot (eV per cell) = -133.364
data_DyHfFeRu
_space_group_name_H-M_alt 'F -4 3 m'
_space_group_IT_number 216
_space_group_name_Hall 'F -4 2 3'
_cell_length_a 6.547
_cell_length_b 6.547
_cell_length_c 6.547
_cell_angle_alpha 90.00
_cell_angle_beta 90.00
_cell_angle_gamma 90.00
loop_
_atom_site_label
_atom_site_fract_x
_atom_site_fract_y
_atom_site_fract_z
Dy1 0.000 0.000 0.000
Hf1 0.000 0.000 0.500
Fe1 0.250 0.250 0.250
Ru1 0.250 0.250 0.750